Record 1
Dy2In2PdPt3: relaxed, GGA-PBE.

a = 4.590 Å, b = 4.590 Å, c = 9.017 Å
α = 90.00°, β = 90.00°, γ = 120.00°
Fractional positions:
Dy: 0.000 0.000 0.000
Dy: 0.333 0.667 0.495
In: 0.667 0.333 0.249
In: 0.667 0.333 0.750
Pd: 0.000 0.000 0.660
Pt: 0.000 0.000 0.342
Pt: 0.333 0.667 0.155
Pt: 0.333 0.667 0.836

Properties
SG: P3m1 (156)
Size of the total moment, μB per formula unit: 0.0

***

Record 2
HgSbPb: relaxed, GGA-PBE.

a = 5.189 Å, b = 5.189 Å, c = 5.189 Å
α = 60.00°, β = 60.00°, γ = 60.00°
Fractional positions:
Hg: 0.000 0.000 0.000
Sb: 0.250 0.250 0.250
Pb: 0.500 0.500 0.500

Properties
SG: F-43m (216)

***

| no. | energy (eV/cell) |
| --- | --- |
| 1 | -45.560 |
| 2 | -7.866 |